First-principles (PBE) data for crystalline HoLuCuPd at its relaxed geometry, as listed in the Alexandria database.

## Properties
The spin magnetization comes out at 0.0 μB per formula unit. As for the formation energy: -0.605 eV per atom.

POSCAR file:
```
HoLuCuPd
1.0
4.877 0.000 0.000
2.438 4.223 0.000
2.438 1.408 3.982
Lu Ho Cu Pd
1 1 1 1
Cartesian
4.877 2.816 1.991
0.000 0.000 0.000
2.438 1.408 0.995
7.315 4.223 2.986
```